Entry 1:
Here is crystalline Na2ZnN2 at its relaxed geometry from the Alexandria database. Energies are from PBE-GGA.

Computed properties:
- density of states at the Fermi level (states/eV/f.u.) = 2.61
- ΔE_f (raw) (eV/atom) = 0.13

Cell lengths 8.2834, 8.2834, 2.9803 Å; angles 90.00, 90.00, 90.00 degrees
Fractional coordinates of all 10 atoms:
N1 0.5493 0.0493 0.0000
N2 0.0493 0.4507 0.0000
N3 0.4507 0.9507 0.0000
N4 0.9507 0.5493 0.0000
Na1 0.2232 0.2768 0.5000
Na2 0.2768 0.7768 0.5000
Na3 0.7232 0.2232 0.5000
Na4 0.7768 0.7232 0.5000
Zn1 0.0000 0.0000 0.0000
Zn2 0.5000 0.5000 0.0000


Entry 2:
Here is crystalline Na2ZnN at its relaxed geometry from the Alexandria database. Energies are from PBE-GGA.

Computed properties:
- density of states at the Fermi level (states/eV/f.u.) = 1.79
- ΔE_f (raw) (eV/atom) = 0.11
- polymorph energy (0 for the lowest one) (meV per atom) = 0

Cell lengths 10.0737, 10.0737, 7.3629 Å; angles 46.84, 46.84, 90.00 degrees
Fractional coordinates of all 8 atoms:
Na1 0.3251 0.6250 0.2500
Na2 0.4249 0.1250 0.2500
Na3 0.8750 0.6749 0.7500
Na4 0.3750 0.5751 0.7500
N1 0.5000 0.5000 0.0000
N2 0.2500 0.7500 0.5000
Zn1 0.0000 0.0000 0.0000
Zn2 0.7500 0.2500 0.5000


Sequential electronic total energy output: -3.982; -2.951 eV per atom
Sequential total moment output: 0.00; 0.00 Bohr magnetons per cell